Version one
{
  "formula": "TmAuSeO",
  "functional": "PBE",
  "state": "optimized geometry",
  "mass_density_g_cm3": 10.4,
  "sg": "No. 54",
  "crystal_system": "orthorhombic",
  "magmom_total_mub_per_fu": 0.0,
  "cell": [[5.5625, 0.0000, 0.0000], [0.0000, 5.5325, 0.0000], [0.0000, 0.0000, 9.5661]],
  "species": ["Au", "Au", "Au", "Au", "O", "O", "O", "O", "Se", "Se", "Se", "Se", "Tm", "Tm", "Tm", "Tm"],
  "fractional_positions": [[0.9615, 0.2498, 0.4998], [0.4615, 0.2502, 0.4998], [0.5385, 0.7498, 0.4998], [0.0385, 0.7502, 0.4998], [0.7508, 0.2500, 0.0002], [0.2508, 0.2500, 0.0002], [0.7492, 0.7500, 0.0002], [0.2492, 0.7500, 0.0002], [0.5000, 0.0000, 0.2752], [0.0000, 0.5000, 0.2752], [0.0000, 0.0000, 0.7245], [0.5000, 0.5000, 0.7245], [0.0000, 0.0000, 0.1117], [0.5000, 0.5000, 0.1117], [0.5000, 0.0000, 0.8885], [0.0000, 0.5000, 0.8885]]
}


Version two
{
  "formula": "TmAuSeO",
  "functional": "PBE",
  "state": "optimized geometry",
  "mass_density_g_cm3": 10.6,
  "sg": "No. 129",
  "crystal_system": "tetragonal",
  "magmom_total_mub_per_fu": 0.0,
  "cell": [[5.5109, 0.0000, 0.0000], [0.0000, 5.5111, 0.0000], [0.0000, 0.0000, 9.4875]],
  "species": ["Au", "Au", "Au", "Au", "O", "O", "O", "O", "Se", "Se", "Se", "Se", "Tm", "Tm", "Tm", "Tm"],
  "fractional_positions": [[0.0000, 0.2501, 0.5000], [0.5000, 0.2501, 0.5000], [0.0000, 0.7499, 0.5000], [0.5000, 0.7499, 0.5000], [0.0000, 0.2501, 0.0000], [0.5000, 0.2501, 0.0000], [0.0000, 0.7499, 0.0000], [0.5000, 0.7499, 0.0000], [0.2500, 0.5000, 0.2792], [0.7500, 0.0000, 0.2797], [0.2500, 0.0000, 0.7203], [0.7500, 0.5000, 0.7208], [0.2500, 0.0000, 0.1135], [0.7500, 0.5000, 0.1138], [0.2500, 0.5000, 0.8862], [0.7500, 0.0000, 0.8865]]
}


The structure with the least stability is version two.


Version one
{
  "formula": "SrHfPO",
  "functional": "PBE",
  "state": "optimized geometry",
  "mass_density_g_cm3": 5.7,
  "sg": "No. 129",
  "crystal_system": "tetragonal",
  "magmom_total_mub_per_fu": 0.2,
  "cell": [[4.4824, 0.0000, 0.0000], [0.0000, 4.4824, 0.0000], [0.0000, 0.0000, 9.1315]],
  "species": ["Hf", "Hf", "O", "O", "P", "P", "Sr", "Sr"],
  "fractional_positions": [[0.5000, 0.0000, 0.5000], [0.0000, 0.5000, 0.5000], [0.5000, 0.0000, 0.0000], [0.0000, 0.5000, 0.0000], [0.5000, 0.5000, 0.3656], [0.0000, 0.0000, 0.6344], [0.0000, 0.0000, 0.0983], [0.5000, 0.5000, 0.9017]]
}


Version two
{
  "formula": "SrHfPO",
  "functional": "PBE",
  "state": "optimized geometry",
  "mass_density_g_cm3": 7.0,
  "sg": "No. 129",
  "crystal_system": "tetragonal",
  "magmom_total_mub_per_fu": 0.0,
  "cell": [[3.0034, -3.0034, 0.0000], [3.0034, 3.0034, 0.0000], [0.0000, 0.0000, 8.1808]],
  "species": ["Hf", "Hf", "O", "O", "P", "P", "Sr", "Sr"],
  "fractional_positions": [[0.2500, 0.2500, 0.0804], [0.7500, 0.7500, 0.9196], [0.7500, 0.2500, 0.0000], [0.2500, 0.7500, 0.0000], [0.7500, 0.7500, 0.2537], [0.2500, 0.2500, 0.7463], [0.7500, 0.2500, 0.5000], [0.2500, 0.7500, 0.5000]]
}


The structure with the least stability is version two.


Version one
{
  "formula": "HoAuSeO",
  "functional": "PBE",
  "state": "optimized geometry",
  "mass_density_g_cm3": 10.2,
  "sg": "No. 54",
  "crystal_system": "orthorhombic",
  "magmom_total_mub_per_fu": 0.0,
  "cell": [[5.5988, 0.0000, 0.0000], [0.0000, 5.5508, 0.0000], [0.0000, 0.0000, 9.5926]],
  "species": ["Au", "Au", "Au", "Au", "Ho", "Ho", "Ho", "Ho", "O", "O", "O", "O", "Se", "Se", "Se", "Se"],
  "fractional_positions": [[0.4498, 0.2500, 0.5001], [0.9498, 0.2500, 0.5001], [0.0502, 0.7500, 0.5001], [0.5502, 0.7500, 0.5001], [0.0000, 0.0000, 0.1137], [0.5000, 0.5000, 0.1137], [0.5000, 0.0000, 0.8861], [0.0000, 0.5000, 0.8861], [0.2512, 0.2500, 0.0000], [0.7512, 0.2500, 0.0000], [0.2488, 0.7500, 0.0000], [0.7488, 0.7500, 0.0000], [0.5000, 0.0000, 0.2773], [0.0000, 0.5000, 0.2773], [0.0000, 0.0000, 0.7228], [0.5000, 0.5000, 0.7228]]
}


Version two
{
  "formula": "HoAuSeO",
  "functional": "PBE",
  "state": "optimized geometry",
  "mass_density_g_cm3": 10.4,
  "sg": "No. 129",
  "crystal_system": "tetragonal",
  "magmom_total_mub_per_fu": 0.0,
  "cell": [[-0.1053, -4.8783, -2.6401], [1.9024, -2.5122, 4.5661], [-8.9080, -1.3995, 2.9415]],
  "species": ["Au", "Au", "Au", "Au", "Ho", "Ho", "Ho", "Ho", "O", "O", "O", "O", "Se", "Se", "Se", "Se"],
  "fractional_positions": [[0.0000, 0.0000, 0.5000], [0.5000, 0.0000, 0.5000], [0.0000, 0.5000, 0.5000], [0.5000, 0.5000, 0.5000], [0.2501, 0.2501, 0.1159], [0.7499, 0.7499, 0.1159], [0.7499, 0.2501, 0.8841], [0.2501, 0.7499, 0.8841], [0.0000, 0.0000, 0.0000], [0.5000, 0.0000, 0.0000], [0.0000, 0.5000, 0.0000], [0.5000, 0.5000, 0.0000], [0.7497, 0.2503, 0.2812], [0.2503, 0.7497, 0.2812], [0.2503, 0.2503, 0.7188], [0.7497, 0.7497, 0.7188]]
}


The structure with the least stability is version two.